A relaxed CsPmTe2 crystal. Source: Alexandria, functional GGA-PBE.

a b c (Å): 4.008 4.008 9.119
angles (deg): 90.00 90.00 90.00
Space group P4/mmm (No. 123)
Inequivalent atoms, fractional coordinates:
Cs 0.000 0.000 0.000 x1
Pm 0.000 0.000 0.500 x1
Te 0.500 0.500 0.301 x2

energy relative to the elements, uncorrected: -4.9 eV per formula unit
DFT total energy: -4.20 eV/atom
DOS at the Fermi energy: 0.76 states/eV/cell
total moment: 0.00 μB/f.u.